{
  "formula": "CaScAg2",
  "functional": "GGA-PBE",
  "state": "relaxed",
  "cell": [[3.785, -1.997, 0.000], [3.785, 1.997, 0.000], [-2.131, 0.000, 6.825]],
  "species": ["Ca", "Sc", "Ag", "Ag"],
  "frac_coords": [[0.000, 0.000, 0.000], [0.500, 0.500, 0.500], [0.240, 0.240, 0.712], [0.760, 0.760, 0.288]],
  "vol_a3_per_cell": 103.2,
  "formation_energy_ev_per_atom": -0.050,
  "dft_energy_ev_per_atom": -3.56,
  "m_tot_mub_per_atom": 0.000
}